Entry 1:
First-principles (PBE) data for a geometry-optimized YIr2Se structure, as listed in the Alexandria database.

Lattice parameters (Å, degrees): 5.4114 5.4114 5.4114 137.24 137.24 62.06
Sites, in units of the cell vectors:
Ir 0.0000 0.0000 0.0000
Ir 0.5000 0.5000 0.0000
Se 0.2500 0.7500 0.5000
Y 0.7500 0.2500 0.5000

Output
calculated total energy: -28.79 eV per cell
calculated volume: 72 Å³/f.u.
formation energy from raw total energies: -0.28 eV/atom
symmetry: No. 139

=====

Entry 2:
First-principles (PBE) data for a geometry-optimized YIr2Se structure, as listed in the Alexandria database.

Lattice parameters (Å, degrees): 3.6157 3.6157 5.9541 90.00 90.00 90.00
Last column: magnetic moment on the atom in μB.
Sites, in units of the cell vectors:
Ir 0.0000 0.0000 0.0709  0.06
Ir 0.5000 0.5000 0.1845  0.07
Se 0.0000 0.0000 0.5111  0.00
Y 0.5000 0.5000 0.7335  0.00

Output
calculated total energy: -28.96 eV per cell
calculated volume: 78 Å³/f.u.
formation energy from raw total energies: -0.32 eV/atom
symmetry: No. 99

=====

Entry 3:
First-principles (PBE) data for a geometry-optimized Y3IrSe structure, as listed in the Alexandria database.

Lattice parameters (Å, degrees): 5.3741 5.3741 5.3741 90.00 90.00 90.00
Sites, in units of the cell vectors:
Y 0.0000 0.5000 0.0000
Y 0.0000 0.0000 0.5000
Y 0.5000 0.0000 0.0000
Ir 0.0000 0.0000 0.0000
Se 0.5000 0.5000 0.5000

Output
calculated total energy: -34.41 eV per cell
calculated volume: 155 Å³/f.u.
formation energy from raw total energies: -0.54 eV/atom
symmetry: No. 221
offset from the most stable computed form: 0.00 eV per formula unit

=====

Entry 4:
First-principles (PBE) data for a geometry-optimized YIr2Se structure, as listed in the Alexandria database.

Lattice parameters (Å, degrees): 3.7791 3.8544 5.5485 77.59 90.00 90.00
Sites, in units of the cell vectors:
Ir 0.0000 0.8834 0.1124
Ir 0.5000 0.3022 0.1602
Se 0.0000 0.4408 0.5018
Y 0.5000 0.8736 0.7256

Output
calculated total energy: -29.18 eV per cell
calculated volume: 79 Å³/f.u.
formation energy from raw total energies: -0.38 eV/atom
symmetry: No. 6

=====

Entry 5:
First-principles (PBE) data for a geometry-optimized Y4IrSe2 structure, as listed in the Alexandria database.

Lattice parameters (Å, degrees): 3.8622 6.8782 14.1115 90.00 90.00 106.31
Sites, in units of the cell vectors:
Y 0.2062 0.4124 0.6291
Y 0.7938 0.5876 0.3709
Y 0.7938 0.5876 0.1291
Y 0.2062 0.4124 0.8709
Y 0.9531 0.9061 0.7500
Y 0.0469 0.0939 0.2500
Y 0.5000 0.0000 0.0000
Y 0.5000 0.0000 0.5000
Ir 0.3939 0.7877 0.2500
Ir 0.6061 0.2123 0.7500
Se 0.8589 0.7177 0.9347
Se 0.1411 0.2823 0.0653
Se 0.8589 0.7177 0.5653
Se 0.1411 0.2823 0.4347

Output
calculated total energy: -101.08 eV per cell
calculated volume: 180 Å³/f.u.
formation energy from raw total energies: -1.27 eV/atom
symmetry: No. 63

=====

Entry 6:
First-principles (PBE) data for a geometry-optimized YIr2Se structure, as listed in the Alexandria database.

Lattice parameters (Å, degrees): 5.2306 5.2306 5.2306 139.23 126.36 69.50
Sites, in units of the cell vectors:
Ir 0.9682 0.9682 0.0000
Ir 0.7343 0.2343 0.5000
Se 0.5354 0.5354 0.0000
Y 0.2621 0.7621 0.5000

Output
calculated total energy: -28.79 eV per cell
calculated volume: 74 Å³/f.u.
formation energy from raw total energies: -0.28 eV/atom
symmetry: No. 44